{
  "formula": "CuNi3Hg",
  "functional": "GGA-PBE",
  "state": "relaxed",
  "lattice": [[4.330, 0.000, 0.000], [0.000, 4.330, 0.000], [0.000, 0.000, 4.330]],
  "species": ["Ni", "Ni", "Ni", "Hg", "Cu"],
  "fractional_positions": [[0.000, 0.500, 0.000], [0.000, 0.000, 0.500], [0.500, 0.000, 0.000], [0.500, 0.500, 0.500], [0.000, 0.000, 0.000]],
  "formation_energy_ev_per_atom": 0.896,
  "spacegroup": "Pm-3m, No. 221",
  "dos_ef_per_ev_fu": 4.01
}